1.
Density functional theory data (PBE-GGA) for a relaxed structure of LaTb2Dy6Sc3.

- Energy relative to the elements: 0.59 eV/f.u.
- Space group: C2/m, No. 12

Cell: 6.072 6.072 11.521 Å, 95.04 95.04 120.01°
Atoms (fractional coordinates):
Dy: 0.578 0.912 0.738
Dy: 0.422 0.088 0.262
Dy: 0.912 0.578 0.738
Dy: 0.088 0.422 0.262
Dy: 0.247 0.247 0.738
Dy: 0.753 0.753 0.262
Tb: 0.667 0.333 0.000
Tb: 0.333 0.667 0.000
La: 0.000 0.000 0.000
Sc: 0.833 0.167 0.500
Sc: 0.167 0.833 0.500
Sc: 0.500 0.500 0.500

2.
Density functional theory data (PBE-GGA) for a relaxed structure of Ba3SrIn.

- Energy relative to the elements: 3.28 eV/f.u.
- Space group: Pm-3m, No. 221
- Excess energy over the best structure of this formula in the dataset: 829 meV/atom

Cell: 6.723 6.723 6.723 Å, 90.00 90.00 90.00°
Atoms (fractional coordinates):
Ba: 0.000 0.500 0.000
Ba: 0.500 0.000 0.000
Ba: 0.000 0.000 0.500
Sr: 0.000 0.000 0.000
In: 0.500 0.500 0.500

3.
Density functional theory data (PBE-GGA) for a relaxed structure of CrTeWN2.

- Space group: P4/mmm, No. 123
- Excess energy over the best structure of this formula in the dataset: 786 meV/atom

Cell: 3.840 3.840 5.523 Å, 90.00 90.00 90.00°
Atoms (fractional coordinates):
Cr: 0.000 0.000 0.000
Te: 0.000 0.000 0.500
N: 0.500 0.000 0.000
N: 0.000 0.500 0.000
W: 0.500 0.500 0.500

4.
Density functional theory data (PBE-GGA) for a relaxed structure of LiCa4Tl5.

- Energy relative to the elements: -3.84 eV/f.u.
- Space group: P4/mmm, No. 123

Cell: 3.817 3.817 19.211 Å, 90.00 90.00 90.00°
Atoms (fractional coordinates):
Ca: 0.000 0.000 0.811
Ca: 0.000 0.000 0.189
Ca: 0.000 0.000 0.604
Ca: 0.000 0.000 0.396
Tl: 0.500 0.500 0.707
Tl: 0.500 0.500 0.293
Tl: 0.500 0.500 0.500
Tl: 0.500 0.500 0.917
Tl: 0.500 0.500 0.083
Li: 0.000 0.000 0.000

5.
Density functional theory data (PBE-GGA) for a relaxed structure of SrTaCr2.

- Energy relative to the elements: 3.12 eV/f.u.
- Space group: C2/m, No. 12
- Excess energy over the best structure of this formula in the dataset: 153 meV/atom

Cell: 4.835 4.835 6.350 Å, 84.44 84.44 37.28°
Atoms (fractional coordinates):
Cr: 0.990 0.990 0.130
Cr: 0.510 0.510 0.370
Ta: 0.250 0.250 0.250
Sr: 0.750 0.750 0.750

6.
Density functional theory data (PBE-GGA) for a relaxed structure of VReH2.

- Space group: R-3m, No. 166
- Excess energy over the best structure of this formula in the dataset: 236 meV/atom

Cell: 2.931 2.931 5.085 Å, 73.25 73.25 60.00°
Atoms (fractional coordinates):
V: 0.000 0.000 0.000
Re: 0.500 0.500 0.500
H: 0.119 0.119 0.642
H: 0.881 0.881 0.358